First-principles (PBE with a Hubbard U) data for a relaxed structure of Pr2MnSe2O2, as listed in Alexandria.

Computed properties:
The spin magnetization is 5.00 μB per formula unit. As for the space-group type: No. 12. As for the total energy: -49.948 eV for the cell shown.

Unit cell a=6.187 b=6.187 c=7.203 alpha=119.60 beta=119.60 gamma=37.26
Fractional coordinates of all 7 atoms:
Pr  0.192  0.192  0.245
Pr  0.808  0.808  0.755
Mn  0.000  0.000  0.500
Se  0.438  0.438  0.176
Se  0.562  0.562  0.824
O  0.198  0.198  0.582
O  0.802  0.802  0.418